Entry 1:
# TbPm3Nd4Te8

An optimized crystal structure of TbPm3Nd4Te8 (PBE-GGA, Alexandria via LeMat-Bulk).

Cell lengths 8.9526, 8.9526, 8.9526 Å; angles 59.87, 59.87, 59.87 degrees
With the nearest neighbours (Å) after each atom.
Positions (direct):
Tb1 0.0000 0.0000 0.0000  6 Te 3.11
Pm1 0.0000 0.5000 0.5000  6 Te 3.15
Pm2 0.5000 0.0000 0.5000  6 Te 3.15
Pm3 0.5000 0.5000 0.0000  6 Te 3.15
Nd1 0.0000 0.0000 0.5000  6 Te 3.17
Nd2 0.0000 0.5000 0.0000  6 Te 3.17
Nd3 0.5000 0.0000 0.0000  6 Te 3.17
Nd4 0.5000 0.5000 0.5000  6 Te 3.21
Te1 0.2463 0.2463 0.7520  1 Tb 3.11, 2 Pm 3.15, 3 Nd 3.17-3.21
Te2 0.2463 0.7520 0.2463  1 Tb 3.11, 2 Pm 3.15, 3 Nd 3.17-3.21
Te3 0.2480 0.7537 0.7537  1 Tb 3.11, 2 Pm 3.15, 3 Nd 3.17-3.21
Te4 0.2509 0.2509 0.2509  3 Pm 3.15, 3 Nd 3.17
Te5 0.7491 0.7491 0.7491  3 Pm 3.15, 3 Nd 3.17
Te6 0.7520 0.2463 0.2463  1 Tb 3.11, 2 Pm 3.15, 3 Nd 3.17-3.21
Te7 0.7537 0.2480 0.7537  1 Tb 3.11, 2 Pm 3.15, 3 Nd 3.17-3.21
Te8 0.7537 0.7537 0.2480  1 Tb 3.11, 2 Pm 3.15, 3 Nd 3.17-3.21

## Properties
The space group is R-3m. The value obtained for the calculated total energy is -5.341 eV per atom. The energy relative to the elements, uncorrected comes out at -22.4 eV per formula unit.

Entry 2:
# Tb2PmNd3Te6

An optimized crystal structure of Tb2PmNd3Te6 (PBE-GGA, Alexandria via LeMat-Bulk).

Cell lengths 9.9606, 9.9606, 8.9678 Å; angles 103.26, 103.26, 25.64 degrees
With the nearest neighbours (Å) after each atom.
Positions (direct):
Tb1 0.1655 0.1655 0.3312  6 Te 3.06-3.11
Tb2 0.8345 0.8345 0.6688  6 Te 3.06-3.11
Pm1 0.5000 0.5000 0.0000  6 Te 3.14-3.17
Nd1 0.1635 0.1635 0.8327  6 Te 3.15-3.20
Nd2 0.5000 0.5000 0.5000  6 Te 3.16-3.20
Nd3 0.8365 0.8365 0.1673  6 Te 3.15-3.20
Te1 0.0034 0.0034 0.2502  1 Tb 3.06, 2 Pm 3.14, 3 Nd 3.15-3.16
Te2 0.3304 0.3304 0.4226  3 Tb 3.11, 3 Nd 3.20
Te3 0.3323 0.3323 0.9094  2 Tb 3.10, 1 Pm 3.17, 3 Nd 3.19
Te4 0.6677 0.6677 0.0906  2 Tb 3.10, 1 Pm 3.17, 3 Nd 3.19
Te5 0.6696 0.6696 0.5774  3 Tb 3.11, 3 Nd 3.20
Te6 0.9966 0.9966 0.7498  1 Tb 3.06, 2 Pm 3.14, 3 Nd 3.15-3.16

## Properties
The space group is C2/m. The value obtained for the calculated total energy is -5.315 eV per atom. The energy relative to the elements, uncorrected comes out at -16.6 eV per formula unit.

Entry 3:
# TbPm3Nd2Te6

An optimized crystal structure of TbPm3Nd2Te6 (PBE-GGA, Alexandria via LeMat-Bulk).

Cell lengths 9.9616, 9.9616, 8.9697 Å; angles 102.64, 102.64, 25.75 degrees
With the nearest neighbours (Å) after each atom.
Positions (direct):
Tb1 0.0000 0.0000 0.0000  6 Te 3.08-3.12
Pm1 0.0000 0.0000 0.5000  6 Te 3.13-3.19
Pm2 0.3296 0.3296 0.1663  6 Te 3.14-3.20
Pm3 0.6704 0.6704 0.8337  6 Te 3.14-3.20
Nd1 0.3315 0.3315 0.6644  6 Te 3.15-3.22
Nd2 0.6685 0.6685 0.3356  6 Te 3.15-3.22
Te1 0.1630 0.1630 0.0796  1 Tb 3.08, 3 Pm 3.15-3.16, 2 Nd 3.18
Te2 0.1651 0.1651 0.5844  3 Pm 3.13-3.14, 3 Nd 3.15-3.16
Te3 0.4985 0.4985 0.2437  2 Tb 3.12, 3 Pm 3.19-3.20, 1 Nd 3.22
Te4 0.5015 0.5015 0.7563  2 Tb 3.12, 3 Pm 3.19-3.20, 1 Nd 3.22
Te5 0.8349 0.8349 0.4156  3 Pm 3.13-3.14, 3 Nd 3.15-3.16
Te6 0.8370 0.8370 0.9204  1 Tb 3.08, 3 Pm 3.15-3.16, 2 Nd 3.18

## Properties
The space group is C2/m. The value obtained for the calculated total energy is -5.336 eV per atom. The energy relative to the elements, uncorrected comes out at -16.8 eV per formula unit.

Entry 4:
# Tb2Pm4NdTh

An optimized crystal structure of Tb2Pm4NdTh (PBE-GGA, Alexandria via LeMat-Bulk).

Cell lengths 5.1158, 5.1209, 10.2783 Å; angles 90.00, 90.06, 90.00 degrees
With the nearest neighbours (Å) after each atom.
Positions (direct):
Tb1 0.0000 0.0000 0.0000  8 Pm 3.59-3.60, 4 Th 3.62
Tb2 0.5000 0.5000 0.5000  4 Nd 3.62, 8 Pm 3.65-3.66
Pm1 0.0005 0.5000 0.2461  2 Th 3.60, 4 Tb 3.60-3.66, 4 Pm 3.62, 2 Nd 3.66
Pm2 0.9995 0.5000 0.7539  2 Th 3.60, 4 Tb 3.60-3.66, 4 Pm 3.62, 2 Nd 3.66
Pm3 0.5001 0.0000 0.2451  4 Tb 3.59-3.66, 2 Th 3.59, 4 Pm 3.62, 2 Nd 3.66
Pm4 0.4999 0.0000 0.7549  4 Tb 3.59-3.66, 2 Th 3.59, 4 Pm 3.62, 2 Nd 3.66
Nd1 0.0000 0.0000 0.5000  4 Tb 3.62, 8 Pm 3.66
Th1 0.5000 0.5000 0.0000  8 Pm 3.59-3.60, 4 Tb 3.62

## Properties
The space group is P2/m. The value obtained for the calculated total energy is -5.022 eV per atom. As for the formation energy: 0.034 eV per atom.

Entry 5:
# Tb5PmNd2Th

An optimized crystal structure of Tb5PmNd2Th (PBE-GGA, Alexandria via LeMat-Bulk).

Cell lengths 11.1540, 11.1540, 9.9220 Å; angles 90.00, 90.00, 150.01 degrees
With the nearest neighbours (Å) after each atom.
Positions (direct):
Tb1 0.0147 0.9853 0.5000  2 Nd 3.37-3.63, 2 Th 3.46, 2 Tb 3.65
Tb2 0.2732 0.7268 0.1938  1 Th 3.07, 1 Nd 3.38
Tb3 0.3051 0.6949 0.8053  2 Pm 3.48, 4 Tb 3.52-3.84, 3 Nd 3.55-3.83, 1 Th 3.60
Tb4 0.3998 0.6002 0.4772  2 Tb 3.33-3.45, 4 Nd 3.41-3.57
Tb5 0.4692 0.5308 0.7776  2 Th 3.23-3.39, 3 Tb 3.33-3.55, 2 Nd 3.54
Tb6 0.5308 0.4692 0.2776  2 Th 3.23-3.39, 3 Tb 3.33-3.55, 2 Nd 3.54
Tb7 0.6002 0.3998 0.9772  2 Tb 3.33-3.45, 4 Nd 3.41-3.57
Tb8 0.6949 0.3051 0.3053  2 Pm 3.48, 4 Tb 3.52-3.84, 3 Nd 3.55-3.83, 1 Th 3.60
Tb9 0.7268 0.2732 0.6938  1 Th 3.07, 1 Nd 3.38
Tb10 0.9853 0.0147 0.0000  2 Nd 3.37-3.63, 2 Th 3.46, 2 Tb 3.65
Pm1 0.1910 0.8090 0.5004  2 Nd 3.31-3.51, 5 Tb 3.48-3.55, 2 Th 3.70
Pm2 0.8090 0.1910 0.0004  2 Nd 3.31-3.51, 5 Tb 3.48-3.55, 2 Th 3.70
Nd1 0.1162 0.8838 0.1863  8 Tb 3.37-3.57, 1 Pm 3.51
Nd2 0.1275 0.8725 0.8044  1 Pm 3.31, 3 Tb 3.41-3.63, 2 Th 3.65
Nd3 0.8725 0.1275 0.3044  1 Pm 3.31, 3 Tb 3.41-3.63, 2 Th 3.65
Nd4 0.8838 0.1162 0.6863  8 Tb 3.37-3.57, 1 Pm 3.51
Th1 0.4077 0.5923 0.0923  3 Tb 3.07-3.39
Th2 0.5923 0.4077 0.5923  3 Tb 3.07-3.39

## Properties
The space group is Cmc2_1. The value obtained for the calculated total energy is -4.826 eV per atom. As for the formation energy: 0.159 eV per atom.

Entry 6:
# Tb5PmNdTh2

An optimized crystal structure of Tb5PmNdTh2 (PBE-GGA, Alexandria via LeMat-Bulk).

Cell lengths 9.9571, 9.9571, 9.9571 Å; angles 127.19, 127.19, 77.94 degrees
With the nearest neighbours (Å) after each atom.
Positions (direct):
Tb1 0.0000 0.0000 0.0000  4 Th 3.53, 8 Tb 3.82, 2 Pm 3.87
Tb2 0.0695 0.5695 0.9137  1 Th 3.05, 1 Nd 3.12
Tb3 0.1557 0.0695 0.5000  1 Th 3.05, 1 Nd 3.12
Tb4 0.3443 0.8443 0.9137  1 Th 3.05, 1 Nd 3.12
Tb5 0.4305 0.3443 0.5000  1 Th 3.05, 1 Nd 3.12
Tb6 0.5000 0.5000 0.0000  4 Th 3.53, 8 Tb 3.82, 2 Pm 3.87
Tb7 0.5695 0.6557 0.5000  1 Th 3.05, 1 Nd 3.12
Tb8 0.6557 0.1557 0.0863  1 Th 3.05, 1 Nd 3.12
Tb9 0.8443 0.9305 0.5000  1 Th 3.05, 1 Nd 3.12
Tb10 0.9305 0.4305 0.0863  1 Th 3.05, 1 Nd 3.12
Pm1 0.2500 0.2500 0.0000  10 Tb 3.62-3.87
Pm2 0.7500 0.7500 0.0000  10 Tb 3.62-3.87
Nd1 0.2500 0.7500 0.5000  4 Tb 3.12
Nd2 0.7500 0.2500 0.5000  4 Tb 3.12
Th1 0.1191 0.3809 0.5000  1 Th 2.98, 2 Tb 3.05
Th2 0.3809 0.8809 0.2618  1 Th 2.98, 2 Tb 3.05
Th3 0.6191 0.1191 0.7382  1 Th 2.98, 2 Tb 3.05
Th4 0.8809 0.6191 0.5000  1 Th 2.98, 2 Tb 3.05

## Properties
The space group is I4/mcm. The value obtained for the calculated total energy is -4.962 eV per atom. As for the formation energy: 0.317 eV per atom.